(1)
## Li2CaCd5 (GGA-PBE)

Data for a relaxed Li2CaCd5 crystal.

Its total magnetization is 0.00 μB per atom. The calculation puts the density of states at the Fermi level at 0.39 states/eV/atom. The value obtained for the energy relative to the elements is -171 meV per atom. As for the density: 5.626 g/cm³.

Geometry as CIF:
```
data_Li2CaCd5
_chemical_formula_sum 'Li4 Ca2 Cd10'
_space_group_name_H-M_alt 'I m m m'
_space_group_IT_number 71
_space_group_name_Hall '-I 2 2'
_cell_length_a 4.414
_cell_length_b 8.143
_cell_length_c 10.117
_cell_angle_alpha 90.00
_cell_angle_beta 90.00
_cell_angle_gamma 90.00
loop_
_atom_site_label
_atom_site_fract_x
_atom_site_fract_y
_atom_site_fract_z
_atom_site_occupancy
Li1 0.000 0.000 0.238 1
Ca1 0.000 0.500 0.500 1
Cd1 0.000 0.000 0.500 1
Cd2 0.000 0.312 0.152 1
```

(2)
## LiCaCd2 (GGA-PBE)

Data for a relaxed LiCaCd2 crystal.

Its total magnetization is 0.00 μB per atom. The calculation puts the density of states at the Fermi level at 0.55 states/eV/atom. The value obtained for the energy relative to the elements is -219 meV per atom. As for the density: 4.533 g/cm³. The calculation puts the energy above the most stable polymorph in this dataset at 69 meV/atom.

Geometry as CIF:
```
data_LiCaCd2
_chemical_formula_sum 'Li1 Ca1 Cd2'
_space_group_name_H-M_alt 'P 4/m m m'
_space_group_IT_number 123
_space_group_name_Hall '-P 4 2'
_cell_length_a 4.853
_cell_length_b 4.853
_cell_length_c 4.229
_cell_angle_alpha 90.00
_cell_angle_beta 90.00
_cell_angle_gamma 90.00
loop_
_atom_site_label
_atom_site_fract_x
_atom_site_fract_y
_atom_site_fract_z
_atom_site_occupancy
Li1 0.000 0.000 0.000 1
Ca1 0.500 0.500 0.000 1
Cd1 0.000 0.500 0.500 1
```